Nd12Sm3Th: optimized geometry, PBE-GGA.

ΔH_f (0 K)	0.0232	eV/atom
crystal system	tetragonal
Fermi-level density of states	1.43	states/eV per atom

Unit cell a=5.1842 b=5.1842 c=20.7253 alpha=90.00 beta=90.00 gamma=90.00
Atoms (fractional coordinates):
Nd: 0.0000 0.0000 0.0000
Nd: 0.0000 0.0000 0.2493
Nd: 0.0000 0.0000 0.5000
Nd: 0.0000 0.0000 0.7507
Nd: 0.0000 0.5000 0.1256
Nd: 0.0000 0.5000 0.3777
Nd: 0.0000 0.5000 0.6223
Nd: 0.0000 0.5000 0.8744
Nd: 0.5000 0.0000 0.1256
Nd: 0.5000 0.0000 0.3777
Nd: 0.5000 0.0000 0.6223
Nd: 0.5000 0.0000 0.8744
Sm: 0.5000 0.5000 0.0000
Sm: 0.5000 0.5000 0.2506
Sm: 0.5000 0.5000 0.7494
Th: 0.5000 0.5000 0.5000

Ce6Ga2N: optimized geometry, PBE-GGA.

E_form (uncorrected)	-0.43	eV/atom
energy above the most stable polymorph in this dataset	105	meV per atom
crystal system	orthorhombic
Fermi-level density of states	2.31	states/eV per atom

Unit cell a=3.3778 b=8.3141 c=8.3141 alpha=118.73 beta=90.00 gamma=90.00
Atoms (fractional coordinates):
Ce: 0.0000 0.0000 0.0000
Ce: 0.0000 0.5115 0.7069
Ce: 0.0000 0.7069 0.5115
Ce: 0.5000 0.1011 0.7307
Ce: 0.5000 0.2847 0.2847
Ce: 0.5000 0.7307 0.1011
Ga: 0.0000 0.0451 0.4063
Ga: 0.0000 0.4063 0.0451
N: 0.5000 0.7949 0.7949

TcRh: optimized geometry, PBE-GGA.

energy above the most stable polymorph in this dataset	366	meV per atom
ΔH_f (0 K)	0.1913	eV/atom
crystal system	cubic
Fermi-level density of states	1.38	states/eV per atom

Unit cell a=4.9105 b=4.9105 c=4.9105 alpha=90.00 beta=90.00 gamma=90.00
Atoms (fractional coordinates):
Tc: 0.1021 0.1021 0.1021
Tc: 0.3979 0.8979 0.6021
Tc: 0.6021 0.3979 0.8979
Tc: 0.8979 0.6021 0.3979
Rh: 0.1001 0.6001 0.8999
Rh: 0.3999 0.3999 0.3999
Rh: 0.6001 0.8999 0.1001
Rh: 0.8999 0.1001 0.6001

MnIn4Ag: optimized geometry, PBE-GGA.

ΔH_f (0 K)	0.4881	eV/atom
crystal system	cubic
Fermi-level density of states	0.60	states/eV per atom

Unit cell a=5.9750 b=5.9750 c=5.9750 alpha=60.00 beta=60.00 gamma=60.00
Atoms (fractional coordinates):
Mn: 0.0000 0.0000 0.0000
In: 0.3749 0.3749 0.3749
In: 0.3749 0.3749 0.8752
In: 0.3749 0.8752 0.3749
In: 0.8752 0.3749 0.3749
Ag: 0.7500 0.7500 0.7500

Bi2CSe: optimized geometry, PBE-GGA.

E_form (uncorrected)	1.26	eV/atom
energy above the most stable polymorph in this dataset	480	meV per atom
crystal system	cubic
Fermi-level density of states	0.55	states/eV per atom

Unit cell a=4.9866 b=4.9866 c=4.9866 alpha=60.00 beta=60.00 gamma=60.00
Atoms (fractional coordinates):
Bi: 0.2500 0.2500 0.2500
Bi: 0.7500 0.7500 0.7500
C: 0.0000 0.0000 0.0000
Se: 0.5000 0.5000 0.5000

Tm8Ru2Pt: optimized geometry, PBE-GGA.

energy above the most stable polymorph in this dataset	0	meV per atom
ΔH_f (0 K)	-0.4701	eV/atom
crystal system	monoclinic
Fermi-level density of states	0.97	states/eV per atom

Unit cell a=8.9372 b=8.9372 c=6.8003 alpha=107.26 beta=107.26 gamma=31.15
Atoms (fractional coordinates):
Tm: 0.0321 0.0321 0.2864
Tm: 0.2048 0.2048 0.8148
Tm: 0.3305 0.3305 0.5362
Tm: 0.4034 0.4034 0.0441
Tm: 0.5966 0.5966 0.9559
Tm: 0.6695 0.6695 0.4638
Tm: 0.7952 0.7952 0.1852
Tm: 0.9679 0.9679 0.7136
Ru: 0.1847 0.1847 0.2005
Ru: 0.8153 0.8153 0.7995
Pt: 0.5000 0.5000 0.5000

PuSiNi4: optimized geometry, PBE-GGA.

E_form (uncorrected)	-0.31	eV/atom
crystal system	orthorhombic
Fermi-level density of states	2.43	states/eV per atom

Unit cell a=7.0565 b=3.6139 c=6.5198 alpha=90.00 beta=90.00 gamma=90.00
Atoms (fractional coordinates):
Pu: 0.2500 0.0000 0.1362
Pu: 0.7500 0.0000 0.8638
Si: 0.2500 0.0000 0.7088
Si: 0.7500 0.0000 0.2912
Ni: 0.0000 0.0000 0.5000
Ni: 0.0561 0.5000 0.7951
Ni: 0.2500 0.5000 0.4626
Ni: 0.4439 0.5000 0.7951
Ni: 0.5000 0.0000 0.5000
Ni: 0.5561 0.5000 0.2049
Ni: 0.7500 0.5000 0.5374
Ni: 0.9439 0.5000 0.2049

CdSbOs2: optimized geometry, PBE-GGA.

E_form (uncorrected)	0.70	eV/atom
energy above the most stable polymorph in this dataset	367	meV per atom
crystal system	trigonal
Fermi-level density of states	0.57	states/eV per atom

Unit cell a=8.9532 b=8.9532 c=8.9532 alpha=19.55 beta=19.55 gamma=19.55
Atoms (fractional coordinates):
Cd: 0.0000 0.0000 0.0000
Sb: 0.5000 0.5000 0.5000
Os: 0.2436 0.2436 0.2436
Os: 0.7564 0.7564 0.7564

TeAs2Ru2: optimized geometry, PBE-GGA.

E_form (uncorrected)	0.10	eV/atom
energy above the most stable polymorph in this dataset	35	meV per atom
crystal system	tetragonal
Fermi-level density of states	0.37	states/eV per atom

Unit cell a=6.7431 b=6.7431 c=6.7431 alpha=146.14 beta=146.14 gamma=48.63
Atoms (fractional coordinates):
Te: 0.0000 0.0000 0.0000
As: 0.2500 0.7500 0.5000
As: 0.7500 0.2500 0.5000
Ru: 0.3686 0.3686 0.0000
Ru: 0.6314 0.6314 0.0000

PaTlCu2Br8: optimized geometry, PBE-GGA.

E_form (uncorrected)	-0.84	eV/atom
crystal system	trigonal

Unit cell a=11.9332 b=11.9332 c=11.9332 alpha=31.96 beta=31.96 gamma=31.96
Atoms (fractional coordinates):
Pa: 0.0000 0.0000 0.0000
Tl: 0.5000 0.5000 0.5000
Cu: 0.2501 0.2501 0.2501
Cu: 0.7499 0.7499 0.7499
Br: 0.0611 0.3697 0.7278
Br: 0.1821 0.1821 0.1821
Br: 0.2722 0.6303 0.9389
Br: 0.3697 0.7278 0.0611
Br: 0.6303 0.9389 0.2722
Br: 0.7278 0.0611 0.3697
Br: 0.8179 0.8179 0.8179
Br: 0.9389 0.2722 0.6303

Rb2NdHg2S4: optimized geometry, PBE-GGA.

E_form (uncorrected)	-0.98	eV/atom
crystal system	monoclinic
Fermi-level density of states	0.35	states/eV per atom

Unit cell a=8.4523 b=8.4523 c=8.3383 alpha=112.27 beta=112.27 gamma=28.41
Atoms (fractional coordinates):
Rb: 0.1260 0.1260 0.0612
Rb: 0.8740 0.8740 0.9388
Nd: 0.0000 0.0000 0.5000
Hg: 0.3107 0.3107 0.4757
Hg: 0.6893 0.6893 0.5243
S: 0.1868 0.1868 0.7237
S: 0.4741 0.4741 0.7162
S: 0.5259 0.5259 0.2838
S: 0.8132 0.8132 0.2763

TiV2Ir5: optimized geometry, PBE-GGA.

ΔH_f (0 K)	-0.5426	eV/atom
crystal system	orthorhombic
Fermi-level density of states	0.95	states/eV per atom

Unit cell a=5.4546 b=10.8810 c=3.8859 alpha=90.00 beta=90.00 gamma=90.00
Atoms (fractional coordinates):
Ti: 0.0000 0.0000 0.0000
Ti: 0.5000 0.5000 0.0000
V: 0.2109 0.3640 0.5000
V: 0.2891 0.8640 0.5000
V: 0.7109 0.1360 0.5000
V: 0.7891 0.6360 0.5000
Ir: 0.0000 0.5000 0.0000
Ir: 0.0204 0.7501 0.0000
Ir: 0.2336 0.1228 0.5000
Ir: 0.2664 0.6228 0.5000
Ir: 0.4796 0.2501 0.0000
Ir: 0.5000 0.0000 0.0000
Ir: 0.5204 0.7499 0.0000
Ir: 0.7336 0.3772 0.5000
Ir: 0.7664 0.8772 0.5000
Ir: 0.9796 0.2499 0.0000

Total moment in μB/f.u., matching the order above: 0.00 2.36 0.00 4.41 0.00 0.00 4.97 0.00 0.00 0.00 0.00 0.03